No. 1
! TaBi2Os PBE-GGA relaxed; values from VASP
! space-group type: I-42d
! polymorph energy (0 for the lowest one): 690 meV per atom
! total magnetization: 1.2 μB/f.u.
! energy of formation: 1590 meV/atom
&SYSTEM
  ibrav = 0, nat = 8, ntyp = 3
/
ATOMIC_SPECIES
Bi 208.98 Bi.upf
Ta 180.95 Ta.upf
Os 190.23 Os.upf
CELL_PARAMETERS angstrom
-6.342 0.637 1.899
-2.000 -1.695 -6.113
-4.257 -5.923 -0.583
ATOMIC_POSITIONS angstrom
Bi -2.963 -2.475 -3.772
Bi -6.276 -4.800 -1.879
Bi -5.422 -1.280 0.320
Bi -10.537 -5.406 -4.263
Ta -4.171 -0.529 -2.107
Ta -5.214 -4.073 -4.401
Os -7.385 -2.907 -0.396
Os 0.000 0.000 0.000


No. 2
! Zr3TlPd PBE-GGA relaxed; values from VASP
! space-group type: Pm-3m
! polymorph energy (0 for the lowest one): 0 meV per atom
! total magnetization: 0.0 μB/f.u.
! energy of formation: 300 meV/atom
&SYSTEM
  ibrav = 0, nat = 5, ntyp = 3
/
ATOMIC_SPECIES
Zr 91.22 Zr.upf
Tl 204.38 Tl.upf
Pd 106.42 Pd.upf
CELL_PARAMETERS angstrom
5.079 0.000 0.000
0.000 5.079 0.000
0.000 0.000 5.079
ATOMIC_POSITIONS angstrom
Zr 2.540 0.000 0.000
Zr 0.000 2.540 0.000
Zr 0.000 0.000 2.540
Tl 2.540 2.540 2.540
Pd 0.000 0.000 0.000


No. 3
! Ba2YI2O2 PBE-GGA relaxed; values from VASP
! raw formation energy: -2.21 eV per atom
! space-group type: I4/mmm
! total magnetization: 0.5 μB/f.u.
&SYSTEM
  ibrav = 0, nat = 7, ntyp = 4
/
ATOMIC_SPECIES
I 126.90 I.upf
Y 88.91 Y.upf
O 16.00 O.upf
Ba 137.33 Ba.upf
CELL_PARAMETERS angstrom
-1.424 -3.850 -2.055
2.492 1.057 -3.708
6.762 -3.216 6.469
ATOMIC_POSITIONS angstrom
I 5.214 -4.355 -0.580
I 2.616 -1.654 1.287
Y 0.000 0.000 0.000
O -0.712 -1.925 -1.027
O 1.246 0.529 -1.854
Ba 1.953 -2.294 -2.183
Ba 5.877 -3.715 2.890


No. 4
! Y2Al3Ir PBE-GGA relaxed; values from VASP
! space-group type: R-3m
! total magnetization: 0.0 μB/f.u.
! energy of formation: -716 meV/atom
&SYSTEM
  ibrav = 0, nat = 6, ntyp = 3
/
ATOMIC_SPECIES
Ir 192.22 Ir.upf
Al 26.98 Al.upf
Y 88.91 Y.upf
CELL_PARAMETERS angstrom
4.852 -0.142 -2.557
-3.081 4.533 -0.231
-0.244 0.107 5.428
ATOMIC_POSITIONS angstrom
Ir 0.000 0.000 0.000
Al 0.763 2.249 1.320
Al 2.304 -0.018 1.436
Al -0.122 0.054 2.714
Y 2.445 1.599 -1.342
Y -0.919 2.899 3.982


No. 5
! Dy3Al9Pd2 PBE-GGA relaxed; values from VASP
! space-group type: Immm
! total magnetization: 0.0 μB/f.u.
! energy of formation: -622 meV/atom
&SYSTEM
  ibrav = 0, nat = 14, ntyp = 3
/
ATOMIC_SPECIES
Pd 106.42 Pd.upf
Dy 162.50 Dy.upf
Al 26.98 Al.upf
CELL_PARAMETERS angstrom
-2.533 -1.674 -3.062
3.357 -7.259 -1.845
-4.506 -5.705 3.811
ATOMIC_POSITIONS angstrom
Pd -3.370 -7.017 0.552
Pd -0.312 -7.621 -1.648
Dy 0.000 0.000 0.000
Dy -1.566 -9.558 0.449
Dy -2.115 -5.080 -1.545
Al -0.002 -2.798 -1.505
Al -4.637 -9.305 -0.185
Al 0.955 -5.333 -0.911
Al -2.101 -2.383 0.005
Al -3.679 -11.840 0.409
Al -0.574 -6.482 0.983
Al -2.469 -4.656 1.552
Al -1.581 -12.255 -1.100
Al -1.213 -9.982 -2.647


No. 6
! Re2AgW PBE-GGA relaxed; values from VASP
! space-group type: I-42d
! polymorph energy (0 for the lowest one): 861 meV per atom
! total magnetization: 0.0 μB/f.u.
! energy of formation: 1171 meV/atom
&SYSTEM
  ibrav = 0, nat = 8, ntyp = 3
/
ATOMIC_SPECIES
Ag 107.87 Ag.upf
W 183.84 W.upf
Re 186.21 Re.upf
CELL_PARAMETERS angstrom
-3.468 0.870 6.342
-6.396 -0.757 -3.394
-4.839 -2.593 1.889
ATOMIC_POSITIONS angstrom
Ag -4.932 0.056 1.474
Ag -8.084 -1.647 -0.015
W -6.619 -0.833 4.853
W 0.000 0.000 0.000
Re -12.456 -1.869 3.893
Re -5.535 -1.039 -1.050
Re -4.283 -0.172 4.206
Re -7.132 -1.879 2.626


No. 7
! NiTeP2Pt PBE-GGA relaxed; values from VASP
! raw formation energy: -0.18 eV per atom
! space-group type: P1
! polymorph energy (0 for the lowest one): 123 meV per atom
! total magnetization: 0.0 μB/f.u.
&SYSTEM
  ibrav = 0, nat = 5, ntyp = 4
/
ATOMIC_SPECIES
P 30.97 P.upf
Pt 195.08 Pt.upf
Ni 58.69 Ni.upf
Te 127.60 Te.upf
CELL_PARAMETERS angstrom
-0.767 3.513 0.282
-0.313 -2.165 3.213
7.480 0.460 0.295
ATOMIC_POSITIONS angstrom
P 1.659 1.359 2.565
P 4.328 0.247 1.183
Pt 5.020 0.166 3.492
Ni 2.751 1.781 0.648
Te 6.478 2.314 2.753


No. 8
! RbBa3Be PBE-GGA relaxed; values from VASP
! space-group type: Pm-3m
! polymorph energy (0 for the lowest one): 957 meV per atom
! total magnetization: 3.2 μB/f.u.
! energy of formation: 1273 meV/atom
&SYSTEM
  ibrav = 0, nat = 5, ntyp = 3
/
ATOMIC_SPECIES
Ba 137.33 Ba.upf
Rb 85.47 Rb.upf
Be 9.01 Be.upf
CELL_PARAMETERS angstrom
-3.618 5.522 -1.828
1.572 -1.144 -6.568
-5.600 -3.888 -0.663
ATOMIC_POSITIONS angstrom
Ba -1.809 2.761 -0.914
Ba -2.800 -1.944 -0.332
Ba 0.786 -0.572 -3.284
Rb 0.000 0.000 0.000
Be -3.823 0.245 -4.530


No. 9
! Cs2Rb8Au PBE-GGA relaxed; values from VASP
! space-group type: C2/m
! polymorph energy (0 for the lowest one): 21 meV per atom
! total magnetization: 0.0 μB/f.u.
! energy of formation: -26 meV/atom
&SYSTEM
  ibrav = 0, nat = 11, ntyp = 3
/
ATOMIC_SPECIES
Rb 85.47 Rb.upf
Cs 132.91 Cs.upf
Au 196.97 Au.upf
CELL_PARAMETERS angstrom
7.457 0.000 0.000
0.000 9.720 -1.245
-3.729 -5.681 13.375
ATOMIC_POSITIONS angstrom
Rb 3.729 3.286 7.209
Rb 0.000 1.199 10.086
Rb 3.729 -3.592 13.009
Rb 3.729 2.839 2.044
Rb 0.000 -3.910 10.438
Rb 3.729 7.948 1.691
Rb 0.000 0.752 4.921
Rb 0.000 7.630 -0.879
Cs 0.000 5.509 4.107
Cs 3.729 -1.471 8.022
Au 3.729 0.000 0.000